Material: Li2Tb3Cd4
Method: DFT, PBE-GGA
State: relaxed

Cell lengths 9.1887, 5.2278, 9.1040 Å; angles 90.00, 98.18, 90.00 degrees
Closest atoms and distances in Å follow each position.
Space group C2/m (No. 12)
Inequivalent atoms, fractional coordinates:
Li 0.2190 0.0000 0.4049 (multiplicity 4)  4 Cd 2.74-3.03
Tb 0.0000 0.5000 0.0000 (multiplicity 2)  8 Cd 3.16-3.22
Tb 0.1301 0.0000 0.7445 (multiplicity 4)  7 Cd 3.17-3.39, 4 Li 3.30-3.34
Cd 0.0516 0.5000 0.3575 (multiplicity 4)  3 Li 2.80-3.03, 1 Cd 2.89
Cd 0.1848 0.0000 0.1012 (multiplicity 4)  1 Li 2.74

Properties
The value obtained for the total DFT energy (no corrections) is -47.1 eV per cell. Its total moment is 0.00 μB per formula unit. The value obtained for the formation energy is -0.241 eV per atom.


Material: LiTbCd4
Method: DFT, PBE-GGA
State: relaxed

Cell lengths 9.8621, 3.9691, 7.3917 Å; angles 90.00, 109.20, 90.00 degrees
Closest atoms and distances in Å follow each position.
Space group C2/m (No. 12)
Inequivalent atoms, fractional coordinates:
Li 0.0000 0.0000 0.0000 (multiplicity 2)  10 Cd 2.99-3.11
Tb 0.0000 0.0000 0.5000 (multiplicity 2)  10 Cd 3.18-3.25
Cd 0.1609 0.5000 0.2962 (multiplicity 4)  2 Li 2.99, 4 Cd 3.04-3.30, 3 Tb 3.18-3.21
Cd 0.1662 0.5000 0.8518 (multiplicity 4)  3 Li 3.00-3.11, 6 Cd 3.02-3.30, 2 Tb 3.25

Properties
The value obtained for the total DFT energy (no corrections) is -22.8 eV per cell. Its total moment is 0.00 μB per formula unit. The value obtained for the formation energy is -0.202 eV per atom.


Material: LiTb2Cd5
Method: DFT, PBE-GGA
State: relaxed

Cell lengths 4.9043, 4.9043, 15.5340 Å; angles 90.00, 90.00, 90.00 degrees
Closest atoms and distances in Å follow each position.
Space group I4/mmm (No. 139)
Inequivalent atoms, fractional coordinates:
Li 0.0000 0.0000 0.0000 (multiplicity 2)  8 Cd 3.01
Tb 0.0000 0.0000 0.2562 (multiplicity 4)  8 Cd 3.19-3.32, 4 Tb 3.47
Cd 0.0000 0.0000 0.5000 (multiplicity 2)  8 Cd 3.01
Cd 0.0000 0.5000 0.1122 (multiplicity 8)  2 Cd 3.01, 2 Li 3.01, 4 Tb 3.19-3.32

Properties
The value obtained for the total DFT energy (no corrections) is -35.4 eV per cell. Its total moment is 0.39 μB per formula unit. The value obtained for the formation energy is -0.246 eV per atom.


Material: LiTb4Cd5
Method: DFT, PBE-GGA
State: relaxed

Cell lengths 3.6822, 3.6822, 18.6100 Å; angles 90.00, 90.00, 90.00 degrees
Closest atoms and distances in Å follow each position.
Space group P4/mmm (No. 123)
Inequivalent atoms, fractional coordinates:
Li 0.0000 0.0000 0.0000 (multiplicity 1)  8 Cd 3.04
Tb 0.0000 0.0000 0.1903 (multiplicity 2)  8 Cd 3.24-3.27, 1 Li 3.54
Tb 0.0000 0.0000 0.3963 (multiplicity 2)  8 Cd 3.23-3.24
Cd 0.5000 0.5000 0.0845 (multiplicity 2)  4 Li 3.04, 1 Cd 3.14, 4 Tb 3.27
Cd 0.5000 0.5000 0.2937 (multiplicity 2)  8 Tb 3.23-3.24
Cd 0.5000 0.5000 0.5000 (multiplicity 1)  8 Tb 3.24

Properties
The value obtained for the total DFT energy (no corrections) is -27.9 eV per cell. Its total moment is 0.02 μB per formula unit. The value obtained for the formation energy is -0.293 eV per atom.


> Which value of total moment does entry 2 give?

0.00 μB per formula unit


Repeat the second record exactly.
Material: LiTbCd4
Method: DFT, PBE-GGA
State: relaxed

Cell lengths 9.8621, 3.9691, 7.3917 Å; angles 90.00, 109.20, 90.00 degrees
Closest atoms and distances in Å follow each position.
Space group C2/m (No. 12)
Inequivalent atoms, fractional coordinates:
Li 0.0000 0.0000 0.0000 (multiplicity 2)  10 Cd 2.99-3.11
Tb 0.0000 0.0000 0.5000 (multiplicity 2)  10 Cd 3.18-3.25
Cd 0.1609 0.5000 0.2962 (multiplicity 4)  2 Li 2.99, 4 Cd 3.04-3.30, 3 Tb 3.18-3.21
Cd 0.1662 0.5000 0.8518 (multiplicity 4)  3 Li 3.00-3.11, 6 Cd 3.02-3.30, 2 Tb 3.25

Properties
The value obtained for the total DFT energy (no corrections) is -22.8 eV per cell. Its total moment is 0.00 μB per formula unit. The value obtained for the formation energy is -0.202 eV per atom.


> The highest formation energy belongs to which entry?

LiTbCd4


> Number 2 is which compound?

LiTbCd4